ScTc2Pt: relaxed, PBE.

Properties
Formation energy = -14 kJ/mol of formula units
Energy above the lowest structure with this stoichiometry = 293.8 meV/atom
Magnetic moment = 0.00 μB per atom
Total DFT energy (no corrections) = -8.313 eV per atom
Space group = Pmmm (47)
D(E_F) = 1.02 states/eV per atom

Cell: 2.721 4.176 5.697 Å, 90.00 90.00 90.00°
Atoms (fractional coordinates):
Sc (0.500, 0.500, 0.750)
Tc (0.000, 0.000, 0.478)
Tc (0.000, 0.000, 0.022)
Pt (0.500, 0.500, 0.250)